No. 1
Below is K2SiTe4Pd after structural relaxation, with properties calculated at the GGA-PBE level.

abc: 13.562 12.673 7.190
angles: 81.05 67.37 31.58
Fractional coordinates of all 16 atoms:
K 0.066 0.066 0.684
K 0.316 0.316 0.934
K 0.684 0.684 0.066
K 0.934 0.934 0.316
Si 0.375 0.375 0.375
Si 0.625 0.625 0.625
Te 0.004 0.375 0.396
Te 0.275 0.604 0.625
Te 0.375 0.004 0.725
Te 0.396 0.725 0.004
Te 0.604 0.275 0.996
Te 0.625 0.996 0.275
Te 0.725 0.396 0.375
Te 0.996 0.625 0.604
Pd 0.125 0.125 0.125
Pd 0.875 0.875 0.875

Output
theoretical density = 4.30 g/cm3
total energy = -3.6516 eV per atom
symmetry = Fddd (70)
size of the total moment = 0.00 μB/cell
ΔE_f (raw) = -0.4794 eV per atom

No. 2
Below is CdBAsSe2 after structural relaxation, with properties calculated at the GGA-PBE level.

abc: 4.907 4.907 4.007
angles: 90.00 90.00 90.00
Fractional coordinates of all 5 atoms:
Cd 0.000 0.000 0.000
B 0.500 0.500 0.500
As 0.500 0.500 0.000
Se 0.000 0.500 0.500
Se 0.500 0.000 0.500

Output
theoretical density = 6.13 g/cm3
energy above the most stable polymorph in this dataset = 0 meV/atom
total energy = -3.2629 eV per atom
symmetry = P4/mmm (123)
size of the total moment = 0.00 μB/cell
ΔE_f (raw) = 0.5793 eV per atom

No. 3
Below is CsBr2N after structural relaxation, with properties calculated at the GGA-PBE level.

abc: 6.492 6.492 6.492
angles: 49.48 49.48 49.48
Fractional coordinates of all 4 atoms:
Cs 0.000 0.000 0.000
Br 0.211 0.211 0.211
Br 0.789 0.789 0.789
N 0.500 0.500 0.500

Output
theoretical density = 3.51 g/cm3
energy above the most stable polymorph in this dataset = 593 meV/atom
total energy = -2.5518 eV per atom
symmetry = R-3m (166)
size of the total moment = 2.00 μB/cell
ΔE_f (raw) = 0.5793 eV per atom

No. 4
Below is TaP2WS after structural relaxation, with properties calculated at the GGA-PBE level.

abc: 4.828 4.828 4.629
angles: 90.00 90.00 90.00
Fractional coordinates of all 5 atoms:
Ta 0.000 0.000 0.000
P 0.000 0.500 0.000
P 0.500 0.000 0.000
W 0.500 0.500 0.500
S 0.000 0.000 0.500

Output
theoretical density = 7.06 g/cm3
energy above the most stable polymorph in this dataset = 73 meV/atom
total energy = -6.8603 eV per atom
symmetry = P4/mmm (123)
size of the total moment = 3.41 μB/cell
ΔE_f (raw) = 1.0903 eV per atom

No. 5
Below is La2TbPr3As6 after structural relaxation, with properties calculated at the GGA-PBE level.

abc: 9.623 9.623 8.610
angles: 102.96 102.96 25.86
Fractional coordinates of all 12 atoms:
La 0.165 0.165 0.331
La 0.835 0.835 0.669
Tb 0.500 0.500 0.000
Pr 0.167 0.167 0.834
Pr 0.500 0.500 0.500
Pr 0.833 0.833 0.166
As 0.001 0.001 0.758
As 0.334 0.334 0.416
As 0.336 0.336 0.920
As 0.664 0.664 0.080
As 0.666 0.666 0.584
As 0.999 0.999 0.242

Output
theoretical density = 6.42 g/cm3
total energy = -6.2495 eV per atom
symmetry = C2/m (12)
size of the total moment = 0.00 μB/cell
calculated formation energy = -1523 meV per atom

No. 6
Below is BaZnSnAu2 after structural relaxation, with properties calculated at the GGA-PBE level.

abc: 6.703 6.703 6.703
angles: 139.18 139.18 59.10
Fractional coordinates of all 5 atoms:
Ba 0.000 0.000 0.000
Zn 0.750 0.250 0.500
Sn 0.250 0.750 0.500
Au 0.377 0.377 0.000
Au 0.623 0.623 0.000

Output
theoretical density = 9.32 g/cm3
total energy = -3.2805 eV per atom
symmetry = I-4m2 (119)
size of the total moment = 0.00 μB/cell
calculated formation energy = -530 meV per atom

No. 7
Below is Ba3Sr12La after structural relaxation, with properties calculated at the GGA-PBE level.

abc: 6.641 6.641 19.473
angles: 90.00 90.00 90.00
Fractional coordinates of all 16 atoms:
Ba 0.000 0.000 0.000
Ba 0.000 0.000 0.260
Ba 0.000 0.000 0.740
Sr 0.000 0.500 0.128
Sr 0.000 0.500 0.386
Sr 0.000 0.500 0.614
Sr 0.000 0.500 0.872
Sr 0.500 0.000 0.128
Sr 0.500 0.000 0.386
Sr 0.500 0.000 0.614
Sr 0.500 0.000 0.872
Sr 0.500 0.500 0.000
Sr 0.500 0.500 0.257
Sr 0.500 0.500 0.500
Sr 0.500 0.500 0.743
La 0.000 0.000 0.500

Output
theoretical density = 3.10 g/cm3
total energy = -1.8942 eV per atom
symmetry = P4/mmm (123)
size of the total moment = 0.00 μB/cell
calculated formation energy = 36 meV per atom

No. 8
Below is BaFe2H8 after structural relaxation, with properties calculated at the GGA-PBE level.

abc: 4.648 4.648 5.112
angles: 90.35 90.35 121.29
Fractional coordinates of all 11 atoms:
Ba 0.000 0.000 0.000
Fe 0.299 0.653 0.499
Fe 0.653 0.299 0.499
H 0.259 0.975 0.555
H 0.322 0.680 0.807
H 0.477 0.477 0.310
H 0.530 0.530 0.660
H 0.531 0.971 0.290
H 0.680 0.322 0.807
H 0.971 0.531 0.290
H 0.975 0.259 0.555

Output
theoretical density = 4.52 g/cm3
total energy = -4.2662 eV per atom
symmetry = Cm (8)
size of the total moment = 3.52 μB/cell